(1)
A plane-wave DFT calculation with GGA-PBE was carried out for crystalline Tl3MoCl at its relaxed geometry.

Properties
ΔE_f (raw) in eV per atom: 0.3854
Magnetization in μB per formula unit: 2.47
Excess energy over the best structure of this formula in the dataset in kJ/mol of atoms: 0.00
Uncorrected energy in eV per cell: -17.85

Lattice parameters (Å, degrees): 5.4979 5.4979 5.4979 90.00 90.00 90.00
Atoms (fractional coordinates):
Tl  0.0000  0.0000  0.5000
Tl  0.0000  0.5000  0.0000
Tl  0.5000  0.0000  0.0000
Mo  0.0000  0.0000  0.0000
Cl  0.5000  0.5000  0.5000

(2)
A plane-wave DFT calculation with GGA-PBE was carried out for crystalline TlMo2Cl at its relaxed geometry.

Properties
ΔE_f (raw) in eV per atom: 0.8938
Magnetization in μB per formula unit: 0.00
Excess energy over the best structure of this formula in the dataset in kJ/mol of atoms: 70.40
Uncorrected energy in eV per cell: -89.20

Lattice parameters (Å, degrees): 4.1734 4.1734 18.7479 90.00 90.00 90.00
Atoms (fractional coordinates):
Tl  0.0000  0.0000  0.0000
Tl  0.0000  0.5000  0.2500
Tl  0.5000  0.0000  0.7500
Tl  0.5000  0.5000  0.5000
Mo  0.1703  0.2500  0.6250
Mo  0.2500  0.6703  0.8750
Mo  0.2500  0.8297  0.3750
Mo  0.3297  0.2500  0.1250
Mo  0.6703  0.7500  0.1250
Mo  0.7500  0.1703  0.3750
Mo  0.7500  0.3297  0.8750
Mo  0.8297  0.7500  0.6250
Cl  0.0000  0.0000  0.5000
Cl  0.0000  0.5000  0.7500
Cl  0.5000  0.0000  0.2500
Cl  0.5000  0.5000  0.0000

(3)
A plane-wave DFT calculation with GGA-PBE was carried out for crystalline Tl3MoCl at its relaxed geometry.

Properties
ΔE_f (raw) in eV per atom: 0.8328
Magnetization in μB per formula unit: 4.67
Excess energy over the best structure of this formula in the dataset in kJ/mol of atoms: 43.16
Uncorrected energy in eV per cell: -15.61

Lattice parameters (Å, degrees): 5.7532 5.7532 5.7532 90.00 90.00 90.00
Atoms (fractional coordinates):
Tl  0.0000  0.0000  0.5000
Tl  0.0000  0.5000  0.0000
Tl  0.5000  0.0000  0.0000
Mo  0.5000  0.5000  0.5000
Cl  0.0000  0.0000  0.0000

(4)
A plane-wave DFT calculation with GGA-PBE was carried out for crystalline Tl2MoCl at its relaxed geometry.

Properties
ΔE_f (raw) in eV per atom: 0.4707
Magnetization in μB per formula unit: 1.20
Excess energy over the best structure of this formula in the dataset in kJ/mol of atoms: 32.88
Uncorrected energy in eV per cell: -15.53

Lattice parameters (Å, degrees): 3.3354 3.3354 8.1708 90.00 90.00 90.00
Atoms (fractional coordinates):
Tl  0.0000  0.0000  0.2220
Tl  0.0000  0.0000  0.7780
Mo  0.5000  0.5000  0.0000
Cl  0.5000  0.5000  0.5000